# 1
VASP calculation (PBE) on crystalline Tb2Te3Au at its relaxed geometry.

Structure (POSCAR):
```
Tb2Te3Au
1.0
10.847 0.000 0.000
0.000 4.121 0.000
0.000 0.000 14.867
Tb Au Te
8 4 12
Direct
0.515 0.250 0.249 Tb
0.015 0.250 0.251 Tb
0.985 0.750 0.749 Tb
0.485 0.750 0.751 Tb
0.736 0.750 0.529 Tb
0.764 0.250 0.029 Tb
0.236 0.750 0.971 Tb
0.264 0.250 0.471 Tb
0.742 0.250 0.722 Au
0.758 0.750 0.222 Au
0.258 0.750 0.278 Au
0.242 0.250 0.778 Au
0.765 0.250 0.363 Te
0.735 0.750 0.863 Te
0.065 0.750 0.405 Te
0.039 0.250 0.901 Te
0.539 0.250 0.599 Te
0.435 0.250 0.905 Te
0.565 0.750 0.095 Te
0.265 0.250 0.137 Te
0.235 0.750 0.637 Te
0.935 0.250 0.595 Te
0.961 0.750 0.099 Te
0.461 0.750 0.401 Te
```

Properties
ρ: 8.97 g cm⁻³
size of the total moment: 0.00 μB per formula unit
symmetry: Pnma (62)
E_tot: -4.69 eV per atom

# 2
VASP calculation (PBE) on crystalline Gd2Co7 at its relaxed geometry.

Structure (POSCAR):
```
Gd2Co7
1.0
-3.207 3.305 -1.842
2.969 -2.542 -3.054
-16.697 -17.249 -1.875
Co Gd
28 8
Direct
0.833 0.167 0.413 Co
0.167 0.833 0.587 Co
0.333 0.667 0.832 Co
0.166 0.332 0.750 Co
0.332 0.166 0.250 Co
0.167 0.333 0.587 Co
0.667 0.833 0.587 Co
0.667 0.833 0.913 Co
0.667 0.333 0.332 Co
0.000 0.000 0.833 Co
0.000 0.000 0.500 Co
0.667 0.333 0.168 Co
0.333 0.167 0.087 Co
0.833 0.667 0.087 Co
0.668 0.834 0.750 Co
0.834 0.166 0.250 Co
0.000 0.000 0.667 Co
0.167 0.333 0.913 Co
0.167 0.833 0.913 Co
0.333 0.667 0.668 Co
0.834 0.668 0.250 Co
0.166 0.834 0.750 Co
0.000 0.000 0.333 Co
0.833 0.667 0.413 Co
0.833 0.167 0.087 Co
0.000 0.000 0.167 Co
0.333 0.167 0.413 Co
0.000 0.000 0.000 Co
0.667 0.333 0.972 Gd
0.333 0.667 0.028 Gd
0.333 0.667 0.173 Gd
0.667 0.333 0.673 Gd
0.667 0.333 0.827 Gd
0.333 0.667 0.327 Gd
0.333 0.667 0.472 Gd
0.667 0.333 0.528 Gd
```

Properties
polymorph energy (0 for the lowest one): 0.0 meV per atom
ρ: 9.41 g cm⁻³
size of the total moment: 5.46 μB per formula unit
energy of formation from the pure elements: -0.09 eV per atom
symmetry: P6_3/mmc (194)
E_tot: -6.65 eV per atom

# 3
VASP calculation (PBE) on crystalline TmBr2 at its relaxed geometry.

Structure (POSCAR):
```
TmBr2
1.0
0.000 3.442 3.442
3.442 0.000 3.442
3.442 3.442 0.000
Tm Br
1 2
Direct
0.000 0.000 0.000 Tm
0.250 0.250 0.250 Br
0.750 0.750 0.750 Br
```

Properties
ρ: 6.69 g cm⁻³
size of the total moment: 0.61 μB per formula unit
symmetry: Fm-3m (225)
E_tot: -3.83 eV per atom

# 4
VASP calculation (PBE) on crystalline MgSc2Os at its relaxed geometry.

Structure (POSCAR):
```
MgSc2Os
1.0
2.236 -3.873 0.000
2.236 3.873 0.000
0.000 0.000 9.371
Sc Os Mg
4 2 2
Direct
0.333 0.667 0.098 Sc
0.667 0.333 0.902 Sc
0.333 0.667 0.402 Sc
0.667 0.333 0.598 Sc
0.000 0.000 0.250 Os
0.000 0.000 0.750 Os
0.333 0.667 0.750 Mg
0.667 0.333 0.250 Mg
```

Properties
ρ: 6.23 g cm⁻³
size of the total moment: 0.00 μB per formula unit
symmetry: P6_3/mmc (194)
E_tot: -6.18 eV per atom

# 5
VASP calculation (PBE) on crystalline ZrTlCoAg at its relaxed geometry.

Structure (POSCAR):
```
ZrTlCoAg
1.0
0.000 3.312 3.312
3.312 0.000 3.312
3.312 3.312 0.000
Co Ag Zr Tl
1 1 1 1
Direct
0.750 0.750 0.750 Co
0.500 0.500 0.500 Ag
0.250 0.250 0.250 Zr
0.000 0.000 0.000 Tl
```

Properties
polymorph energy (0 for the lowest one): 131.7 meV per atom
ρ: 10.56 g cm⁻³
size of the total moment: 0.73 μB per formula unit
symmetry: F-43m (216)
E_tot: -4.96 eV per atom

# 6
VASP calculation (PBE) on crystalline ZnAsOsO at its relaxed geometry.

Structure (POSCAR):
```
ZnAsOsO
1.0
-2.396 -2.129 0.061
0.405 -0.640 -6.447
3.791 -4.247 0.660
Zn Os O As
2 2 2 2
Direct
0.000 0.584 0.382 Zn
0.000 0.416 0.882 Zn
0.500 0.000 0.124 Os
0.500 0.000 0.624 Os
0.500 0.758 0.374 O
0.500 0.242 0.874 O
0.000 0.206 0.374 As
0.000 0.794 0.874 As
```

Properties
polymorph energy (0 for the lowest one): 131.9 meV per atom
ρ: 9.65 g cm⁻³
size of the total moment: 0.00 μB per formula unit
symmetry: Pmc2_1 (26)
E_tot: -5.81 eV per atom